Compound: Al2InW
Source: Alexandria via LeMat-Bulk
Functional: GGA-PBE
Structure: relaxed

a b c (Å): 9.9711 2.8573 4.9206
angles (deg): 90.00 96.68 90.00
With the nearest neighbours (Å) after each atom.
Sites, in units of the cell vectors:
Al 0.0000 0.0000 0.0000  4 In 2.80-2.91, 3 W 2.83-2.97, 5 Al 2.86-3.10
Al 0.2421 0.0000 0.7334  4 W 2.78-2.91, 3 In 2.79-3.11, 5 Al 2.86-3.10
Al 0.5000 0.5000 0.0000  4 In 2.80-2.91, 3 W 2.83-2.97, 5 Al 2.86-3.10
Al 0.7421 0.5000 0.7334  4 W 2.78-2.91, 3 In 2.79-3.11, 5 Al 2.86-3.10
In 0.4793 0.0000 0.4825  7 Al 2.79-3.11, 2 In 2.86, 3 W 2.99-3.00
In 0.9793 0.5000 0.4825  7 Al 2.79-3.11, 2 In 2.86, 3 W 2.99-3.00
W 0.2335 0.5000 0.2153  7 Al 2.78-2.97, 2 W 2.86, 3 In 2.99-3.00
W 0.7335 0.0000 0.2153  7 Al 2.78-2.97, 2 W 2.86, 3 In 2.99-3.00

final energy	-5.579	eV per atom
space-group type	Cm (8)

---

Compound: AlInW2
Source: Alexandria via LeMat-Bulk
Functional: GGA-PBE
Structure: relaxed

a b c (Å): 3.3520 4.5121 8.9671
angles (deg): 90.00 90.00 90.00
With the nearest neighbours (Å) after each atom.
Sites, in units of the cell vectors:
Al 0.0000 0.0000 0.0000  4 W 2.69, 4 Al 2.81
Al 0.5000 0.5000 0.0000  4 W 2.69, 4 Al 2.81
In 0.0000 0.0000 0.5000  4 In 2.81, 4 W 2.91
In 0.5000 0.5000 0.5000  4 In 2.81, 4 W 2.91
W 0.0000 0.5000 0.2353  2 Al 2.69, 4 W 2.81, 2 In 2.91
W 0.0000 0.5000 0.7647  2 Al 2.69, 4 W 2.81, 2 In 2.91
W 0.5000 0.0000 0.2353  2 Al 2.69, 4 W 2.81, 2 In 2.91
W 0.5000 0.0000 0.7647  2 Al 2.69, 4 W 2.81, 2 In 2.91

final energy	-7.719	eV per atom
space-group type	Cmmm (65)

---

Compound: AlInW
Source: Alexandria via LeMat-Bulk
Functional: GGA-PBE
Structure: relaxed

a b c (Å): 6.3972 6.3972 6.3972
angles (deg): 90.00 90.00 90.00
With the nearest neighbours (Å) after each atom.
Sites, in units of the cell vectors:
Al 0.0000 0.0000 0.0000  4 W 2.77
Al 0.0000 0.5000 0.5000  4 W 2.77
Al 0.5000 0.0000 0.5000  4 W 2.77
Al 0.5000 0.5000 0.0000  4 W 2.77
In 0.0000 0.0000 0.5000  4 W 2.77
In 0.0000 0.5000 0.0000  4 W 2.77
In 0.5000 0.0000 0.0000  4 W 2.77
In 0.5000 0.5000 0.5000  4 W 2.77
W 0.2500 0.2500 0.7500  4 In 2.77, 4 Al 2.77
W 0.2500 0.7500 0.2500  4 In 2.77, 4 Al 2.77
W 0.7500 0.2500 0.2500  4 In 2.77, 4 Al 2.77
W 0.7500 0.7500 0.7500  4 In 2.77, 4 Al 2.77

final energy	-5.598	eV per atom
space-group type	F-43m (216)

---

Compound: AlInW4
Source: Alexandria via LeMat-Bulk
Functional: GGA-PBE
Structure: relaxed

a b c (Å): 5.3525 5.3525 5.3525
angles (deg): 60.00 60.00 60.00
With the nearest neighbours (Å) after each atom.
Sites, in units of the cell vectors:
Al 0.0000 0.0000 0.0000  12 W 3.14, 4 In 3.28
In 0.7500 0.7500 0.7500  12 W 3.14, 4 Al 3.28
W 0.3751 0.3751 0.3751  6 W 2.67-2.68
W 0.3751 0.3751 0.8746  6 W 2.67-2.68
W 0.3751 0.8746 0.3751  6 W 2.67-2.68
W 0.8746 0.3751 0.3751  6 W 2.67-2.68

final energy	-9.166	eV per atom
space-group type	F-43m (216)

---

Compound: AlInW2
Source: Alexandria via LeMat-Bulk
Functional: GGA-PBE
Structure: relaxed

a b c (Å): 2.7883 4.2802 5.7839
angles (deg): 90.00 90.00 90.00
With the nearest neighbours (Å) after each atom.
Sites, in units of the cell vectors:
Al 0.0000 0.0000 0.0000  2 Al 2.79, 8 W 2.86, 2 In 2.89
In 0.0000 0.0000 0.5000  2 In 2.79, 2 Al 2.89, 8 W 3.02
W 0.5000 0.5000 0.2216  3 W 2.56-2.79, 4 Al 2.86
W 0.5000 0.5000 0.7784  3 W 2.56-2.79, 4 Al 2.86

final energy	-7.653	eV per atom
space-group type	Pmmm (47)

---

Compound: Al2InW
Source: Alexandria via LeMat-Bulk
Functional: GGA-PBE
Structure: relaxed

a b c (Å): 7.5495 7.5495 5.5752
angles (deg): 90.00 90.00 90.00
With the nearest neighbours (Å) after each atom.
Sites, in units of the cell vectors:
Al 0.2187 0.7500 0.1250  2 W 2.60, 2 Al 2.83
Al 0.2500 0.2187 0.8750  2 W 2.60, 2 Al 2.83
Al 0.2500 0.2813 0.3750  2 W 2.60, 2 Al 2.83
Al 0.2813 0.7500 0.6250  2 W 2.60, 2 Al 2.83
Al 0.7187 0.2500 0.6250  2 W 2.60, 2 Al 2.83
Al 0.7500 0.7187 0.3750  2 W 2.60, 2 Al 2.83
Al 0.7500 0.7813 0.8750  2 W 2.60, 2 Al 2.83
Al 0.7813 0.2500 0.1250  2 W 2.60, 2 Al 2.83
In 0.0000 0.0000 0.5000  2 W 2.79, 4 Al 2.93
In 0.0000 0.5000 0.7500  2 W 2.79, 4 Al 2.93
In 0.5000 0.0000 0.2500  2 W 2.79, 4 Al 2.93
In 0.5000 0.5000 0.0000  2 W 2.79, 4 Al 2.93
W 0.0000 0.0000 0.0000  4 Al 2.60, 2 In 2.79
W 0.0000 0.5000 0.2500  4 Al 2.60, 2 In 2.79
W 0.5000 0.0000 0.7500  4 Al 2.60, 2 In 2.79
W 0.5000 0.5000 0.5000  4 Al 2.60, 2 In 2.79

final energy	-5.090	eV per atom
space-group type	I-42d (122)

---

Compound: AlInW2
Source: Alexandria via LeMat-Bulk
Functional: GGA-PBE
Structure: relaxed

a b c (Å): 3.2513 4.6845 9.3507
angles (deg): 90.00 90.00 90.00
With the nearest neighbours (Å) after each atom.
Sites, in units of the cell vectors:
Al 0.0000 0.0000 0.0000  2 W 2.66, 4 Al 2.85
Al 0.5000 0.5000 0.0000  2 W 2.66, 4 Al 2.85
In 0.0000 0.5000 0.2838  4 In 2.85, 2 W 2.95, 2 Al 3.11
In 0.5000 0.0000 0.2838  4 In 2.85, 2 W 2.95, 2 Al 3.11
W 0.0000 0.0000 0.5472  6 W 2.68-2.85, 2 In 2.95
W 0.0000 0.5000 0.7747  2 Al 2.66, 6 W 2.68-2.85
W 0.5000 0.0000 0.7747  2 Al 2.66, 6 W 2.68-2.85
W 0.5000 0.5000 0.5472  6 W 2.68-2.85, 2 In 2.95

final energy	-7.751	eV per atom
space-group type	Cmm2 (35)

---

Compound: AlInW2
Source: Alexandria via LeMat-Bulk
Functional: GGA-PBE
Structure: relaxed

a b c (Å): 3.4352 4.5457 8.7949
angles (deg): 90.00 90.00 90.00
With the nearest neighbours (Å) after each atom.
Sites, in units of the cell vectors:
Al 0.0000 0.0000 0.0000  6 W 2.77-2.86, 4 In 2.88-3.08
Al 0.5000 0.5000 0.5000  6 W 2.77-2.86, 4 In 2.88-3.08
In 0.0000 0.5000 0.7633  8 W 2.85-3.07, 4 Al 2.88-3.08
In 0.5000 0.0000 0.2633  8 W 2.85-3.07, 4 Al 2.88-3.08
W 0.0000 0.0000 0.5288  2 W 2.61, 4 Al 2.86, 2 In 2.90
W 0.0000 0.5000 0.2529  2 W 2.61, 2 Al 2.77, 4 In 2.85
W 0.5000 0.0000 0.7529  2 W 2.61, 2 Al 2.77, 4 In 2.85
W 0.5000 0.5000 0.0288  2 W 2.61, 4 Al 2.86, 2 In 2.90

final energy	-7.727	eV per atom
space-group type	Imm2 (44)

---

Compound: AlInW2
Source: Alexandria via LeMat-Bulk
Functional: GGA-PBE
Structure: relaxed

a b c (Å): 3.2932 4.5171 4.5635
angles (deg): 90.00 90.00 90.00
With the nearest neighbours (Å) after each atom.
Sites, in units of the cell vectors:
Al 0.0000 0.0000 0.0000  4 W 2.80, 4 In 2.81
In 0.5000 0.0000 0.5000  4 W 2.80, 4 Al 2.81
W 0.0000 0.5000 0.5000  4 In 2.80, 4 W 2.81
W 0.5000 0.5000 0.0000  4 Al 2.80, 4 W 2.81

final energy	-7.693	eV per atom
space-group type	Pmmm (47)

---

Compound: AlInW2
Source: Alexandria via LeMat-Bulk
Functional: GGA-PBE
Structure: relaxed

a b c (Å): 2.9109 2.9109 28.0434
angles (deg): 90.00 90.00 120.00
With the nearest neighbours (Å) after each atom.
Sites, in units of the cell vectors:
Al 0.0000 0.0000 0.0000  6 W 2.79, 6 Al 2.91
Al 0.3333 0.6667 0.6667  6 W 2.79, 6 Al 2.91
Al 0.6667 0.3333 0.3333  6 W 2.79, 6 Al 2.91
In 0.0000 0.0000 0.5000  6 In 2.91, 6 W 2.96
In 0.3333 0.6667 0.1667  6 In 2.91, 6 W 2.96
In 0.6667 0.3333 0.8333  6 In 2.91, 6 W 2.96
W 0.0000 0.0000 0.2537  3 Al 2.79, 6 W 2.91, 3 In 2.96
W 0.0000 0.0000 0.7463  3 Al 2.79, 6 W 2.91, 3 In 2.96
W 0.3333 0.6667 0.4129  3 Al 2.79, 6 W 2.91, 3 In 2.96
W 0.3333 0.6667 0.9204  3 Al 2.79, 6 W 2.91, 3 In 2.96
W 0.6667 0.3333 0.0796  3 Al 2.79, 6 W 2.91, 3 In 2.96
W 0.6667 0.3333 0.5871  3 Al 2.79, 6 W 2.91, 3 In 2.96

final energy	-7.692	eV per atom
space-group type	R-3m (166)

---

Compound: Al2InW
Source: Alexandria via LeMat-Bulk
Functional: GGA-PBE
Structure: relaxed

a b c (Å): 2.9134 2.9134 29.6671
angles (deg): 90.00 90.00 120.00
With the nearest neighbours (Å) after each atom.
Sites, in units of the cell vectors:
Al 0.0000 0.0000 0.0000  3 W 2.75, 9 Al 2.90-2.91
Al 0.0000 0.0000 0.2539  9 Al 2.90-2.91
Al 0.3333 0.6667 0.6667  3 W 2.75, 9 Al 2.90-2.91
Al 0.3333 0.6667 0.9205  9 Al 2.90-2.91
Al 0.6667 0.3333 0.3333  3 W 2.75, 9 Al 2.90-2.91
Al 0.6667 0.3333 0.5872  9 Al 2.90-2.91
In 0.0000 0.0000 0.4912  6 In 2.91, 3 W 3.02
In 0.3333 0.6667 0.1579  6 In 2.91, 3 W 3.02
In 0.6667 0.3333 0.8246  6 In 2.91, 3 W 3.02
W 0.0000 0.0000 0.7399  3 Al 2.75, 6 W 2.91, 3 In 3.02
W 0.3333 0.6667 0.4066  3 Al 2.75, 6 W 2.91, 3 In 3.02
W 0.6667 0.3333 0.0733  3 Al 2.75, 6 W 2.91, 3 In 3.02

final energy	-5.527	eV per atom
space-group type	R3m (160)

---

Compound: AlInW2
Source: Alexandria via LeMat-Bulk
Functional: GGA-PBE
Structure: relaxed

a b c (Å): 3.3883 3.3883 6.0608
angles (deg): 90.00 90.00 90.00
With the nearest neighbours (Å) after each atom.
Sites, in units of the cell vectors:
Al 0.0000 0.0000 0.0000  8 W 2.70
In 0.0000 0.0000 0.5000  8 W 2.99, 2 Al 3.03
W 0.5000 0.5000 0.2043  1 W 2.48, 4 Al 2.70
W 0.5000 0.5000 0.7957  1 W 2.48, 4 Al 2.70

final energy	-7.618	eV per atom
space-group type	P4/mmm (123)

---

Compound: AlInW2
Source: Alexandria via LeMat-Bulk
Functional: GGA-PBE
Structure: relaxed

a b c (Å): 3.3107 3.3107 6.2873
angles (deg): 90.00 90.00 90.00
With the nearest neighbours (Å) after each atom.
Sites, in units of the cell vectors:
Al 0.0000 0.0000 0.0000  5 W 2.74-2.79, 4 In 2.91
In 0.5000 0.5000 0.2747  4 Al 2.91, 6 W 2.94-3.15
W 0.0000 0.0000 0.5564  4 W 2.71, 1 Al 2.79, 4 In 2.94
W 0.5000 0.5000 0.7738  4 W 2.71, 4 Al 2.74

final energy	-7.900	eV per atom
space-group type	P4mm (99)

---

Compound: Al2InW
Source: Alexandria via LeMat-Bulk
Functional: GGA-PBE
Structure: relaxed

a b c (Å): 2.8541 2.8541 8.7253
angles (deg): 90.00 90.00 90.00
With the nearest neighbours (Å) after each atom.
Sites, in units of the cell vectors:
Al 0.0000 0.0000 0.0000  4 W 2.79, 8 Al 2.85-2.87
Al 0.5000 0.5000 0.2338  8 Al 2.85-2.87, 4 In 3.18
In 0.0000 0.0000 0.5159  4 In 2.85, 4 W 3.05, 4 Al 3.18
W 0.5000 0.5000 0.7786  4 Al 2.79, 4 W 2.85, 4 In 3.05

final energy	-5.526	eV per atom
space-group type	P4mm (99)

---

Compound: AlInW2
Source: Alexandria via LeMat-Bulk
Functional: GGA-PBE
Structure: relaxed

a b c (Å): 6.4563 6.4563 6.4563
angles (deg): 90.00 90.00 90.00
With the nearest neighbours (Å) after each atom.
Sites, in units of the cell vectors:
Al 0.0000 0.0000 0.0000  8 W 2.80
Al 0.0000 0.5000 0.5000  8 W 2.80
Al 0.5000 0.0000 0.5000  8 W 2.80
Al 0.5000 0.5000 0.0000  8 W 2.80
In 0.0000 0.0000 0.5000  8 W 2.80
In 0.0000 0.5000 0.0000  8 W 2.80
In 0.5000 0.0000 0.0000  8 W 2.80
In 0.5000 0.5000 0.5000  8 W 2.80
W 0.2500 0.2500 0.2500  4 In 2.80, 4 Al 2.80
W 0.2500 0.2500 0.7500  4 In 2.80, 4 Al 2.80
W 0.2500 0.7500 0.2500  4 In 2.80, 4 Al 2.80
W 0.2500 0.7500 0.7500  4 In 2.80, 4 Al 2.80
W 0.7500 0.2500 0.2500  4 In 2.80, 4 Al 2.80
W 0.7500 0.2500 0.7500  4 In 2.80, 4 Al 2.80
W 0.7500 0.7500 0.2500  4 In 2.80, 4 Al 2.80
W 0.7500 0.7500 0.7500  4 In 2.80, 4 Al 2.80

final energy	-7.412	eV per atom
space-group type	Fm-3m (225)

---

Compound: Al2InW
Source: Alexandria via LeMat-Bulk
Functional: GGA-PBE
Structure: relaxed

a b c (Å): 2.8808 4.8055 4.9666
angles (deg): 90.00 90.00 90.00
With the nearest neighbours (Å) after each atom.
Sites, in units of the cell vectors:
Al 0.0000 0.0000 0.0000  4 W 2.75-2.99, 2 In 2.86, 6 Al 2.88-2.96
Al 0.5000 0.5000 0.1910  2 W 2.78, 4 In 2.85-2.89, 6 Al 2.88-2.96
In 0.0000 0.5000 0.6864  6 Al 2.85-2.89, 2 In 2.88, 4 W 3.00
W 0.5000 0.0000 0.4728  6 Al 2.75-2.99, 2 W 2.88, 4 In 3.00

final energy	-5.621	eV per atom
space-group type	Pmm2 (25)

---

Compound: AlInW2
Source: Alexandria via LeMat-Bulk
Functional: GGA-PBE
Structure: relaxed

a b c (Å): 2.8351 4.5207 5.4462
angles (deg): 90.00 100.72 90.00
With the nearest neighbours (Å) after each atom.
Sites, in units of the cell vectors:
Al 0.0000 0.0000 0.0000  5 W 2.70-3.01, 2 In 2.82, 2 Al 2.84
In 0.8132 0.5000 0.2763  6 W 2.81-3.07, 2 Al 2.82, 2 In 2.84
W 0.2865 0.5000 0.7778  4 W 2.69-2.84, 2 Al 2.76, 2 In 2.81-2.84
W 0.4471 0.0000 0.5397  4 W 2.69-2.84, 2 Al 2.70-2.98, 2 In 2.97

final energy	-7.744	eV per atom
space-group type	Pm (6)

---

Compound: AlInW2
Source: Alexandria via LeMat-Bulk
Functional: GGA-PBE
Structure: relaxed

a b c (Å): 4.2898 4.2898 7.3358
angles (deg): 90.00 90.00 90.00
With the nearest neighbours (Å) after each atom.
Sites, in units of the cell vectors:
Al 0.0000 0.0000 0.0000  4 In 2.82, 8 W 2.82-3.03
Al 0.5000 0.5000 0.5000  4 In 2.82, 8 W 2.82-3.03
In 0.0000 0.5000 0.7500  8 W 2.82-3.03, 4 Al 2.82
In 0.5000 0.0000 0.2500  8 W 2.82-3.03, 4 Al 2.82
W 0.0000 0.0000 0.5000  4 In 2.82, 4 W 2.82, 4 Al 3.03
W 0.0000 0.5000 0.2500  4 W 2.82, 4 Al 2.82, 4 In 3.03
W 0.5000 0.0000 0.7500  4 W 2.82, 4 Al 2.82, 4 In 3.03
W 0.5000 0.5000 0.0000  4 In 2.82, 4 W 2.82, 4 Al 3.03

final energy	-7.718	eV per atom
space-group type	I-4m2 (119)

---

Compound: Al3InW
Source: Alexandria via LeMat-Bulk
Functional: GGA-PBE
Structure: relaxed

a b c (Å): 4.9680 4.9680 4.9680
angles (deg): 90.00 90.00 90.00
With the nearest neighbours (Å) after each atom.
Sites, in units of the cell vectors:
Al 0.0000 0.0000 0.5000  2 W 2.48
Al 0.0000 0.5000 0.0000  2 W 2.48
Al 0.5000 0.0000 0.0000  2 W 2.48
In 0.5000 0.5000 0.5000  12 Al 3.51
W 0.0000 0.0000 0.0000  6 Al 2.48

final energy	-4.765	eV per atom
space-group type	Pm-3m (221)

---

Compound: Al2InW
Source: Alexandria via LeMat-Bulk
Functional: GGA-PBE
Structure: relaxed

a b c (Å): 3.4123 3.5089 5.7957
angles (deg): 90.00 90.00 90.00
With the nearest neighbours (Å) after each atom.
Sites, in units of the cell vectors:
Al 0.0000 0.0000 0.2209  1 Al 2.56, 4 W 2.76
Al 0.0000 0.0000 0.7791  1 Al 2.56, 4 W 2.76
In 0.5000 0.5000 0.5000  2 W 2.90, 8 Al 2.93
W 0.5000 0.5000 0.0000  8 Al 2.76, 2 In 2.90

final energy	-5.656	eV per atom
space-group type	Pmmm (47)

---

no.,total moment (μB per formula unit)
1,0.0
2,0.0
3,1.9
4,0.0
5,0.0
6,0.0
7,0.0
8,0.0
9,0.0
10,0.0
11,0.0
12,0.0
13,0.0
14,0.0
15,0.0
16,0.0
17,0.0
18,0.0
19,0.0
20,0.0